DFT (GGA-PBE) results for an optimized crystal structure of ZrCu2.

The total energy comes out at -5.43 eV per atom.

The space group is Cmcm (No. 63) and the conventional cell measures 3.000, 13.970 and 4.601 Å, with angles of 90.00, 90.00 and 90.00 degrees. The distinct sites, in fractional coordinates, are Zr at (0.000, 0.214, 0.250), Cu at (0.000, 0.098, 0.750) and Cu at (0.000, 0.455, 0.750).